Density functional theory data (SCAN) for a PBEsol-optimized structure of NiHg2.

Values from the calculation:
The formation energy comes out at 0.52 eV per atom. Its space-group type is P6/mmm.

a = 4.653 Å, b = 4.653 Å, c = 2.837 Å
α = 90.00°, β = 90.00°, γ = 120.00°
Fractional positions:
Ni 0.000 0.000 0.000
Hg 0.333 0.667 0.500
Hg 0.667 0.333 0.500

***

Density functional theory data (SCAN) for a PBEsol-optimized structure of MoRh2.

Values from the calculation:
The formation energy comes out at -0.17 eV per atom. Its space-group type is C2/m.

a = 5.117 Å, b = 5.117 Å, c = 6.443 Å
α = 103.60°, β = 103.60°, γ = 30.75°
Fractional positions:
Mo 0.029 0.029 0.303
Mo 0.971 0.971 0.697
Rh 0.309 0.309 0.365
Rh 0.362 0.362 0.974
Rh 0.638 0.638 0.026
Rh 0.691 0.691 0.635

***

Density functional theory data (SCAN) for a PBEsol-optimized structure of Sc2InPd.

Values from the calculation:
The formation energy comes out at -0.21 eV per atom. Its space-group type is R-3m.

a = 9.823 Å, b = 9.823 Å, c = 9.823 Å
α = 19.52°, β = 19.52°, γ = 19.52°
Fractional positions:
Sc 0.103 0.103 0.103
Sc 0.897 0.897 0.897
In 0.000 0.000 0.000
Pd 0.500 0.500 0.500

***

Density functional theory data (SCAN) for a PBEsol-optimized structure of HfSc2Ni.

Values from the calculation:
The formation energy comes out at 0.18 eV per atom. Its space-group type is R-3m.

a = 9.882 Å, b = 9.882 Å, c = 9.882 Å
α = 17.83°, β = 17.83°, γ = 17.83°
Fractional positions:
Hf 0.000 0.000 0.000
Sc 0.103 0.103 0.103
Sc 0.897 0.897 0.897
Ni 0.500 0.500 0.500

***

Density functional theory data (SCAN) for a PBEsol-optimized structure of Rb2TaReI.

Values from the calculation:
The calculation puts the energy relative to the elements, uncorrected at 2100 meV per atom. Its space-group type is P4/mmm.

a = 6.669 Å, b = 6.669 Å, c = 5.269 Å
α = 90.00°, β = 90.00°, γ = 90.00°
Fractional positions:
Rb 0.000 0.500 0.000
Rb 0.500 0.000 0.000
Ta 0.000 0.000 0.500
Re 0.500 0.500 0.500
I 0.000 0.000 0.000

***

Density functional theory data (SCAN) for a PBEsol-optimized structure of InSbTe2Ru.

Values from the calculation:
For the energy above the most stable polymorph in this dataset, the calculation gives 0.000 eV/atom. The calculation puts the energy relative to the elements, uncorrected at 351 meV per atom. Its space-group type is P4/mmm.

a = 5.325 Å, b = 5.325 Å, c = 4.923 Å
α = 90.00°, β = 90.00°, γ = 90.00°
Fractional positions:
In 0.000 0.000 0.000
Sb 0.500 0.500 0.000
Te 0.000 0.500 0.500
Te 0.500 0.000 0.500
Ru 0.500 0.500 0.500

***

Density functional theory data (SCAN) for a PBEsol-optimized structure of TaP2Br.

Values from the calculation:
For the energy above the most stable polymorph in this dataset, the calculation gives 0.000 eV/atom. The calculation puts the energy relative to the elements, uncorrected at 122 meV per atom. Its space-group type is P2/m.

a = 3.560 Å, b = 4.578 Å, c = 5.191 Å
α = 90.00°, β = 108.72°, γ = 90.00°
Fractional positions:
Ta 0.000 0.000 0.000
P 0.315 0.500 0.136
P 0.685 0.500 0.864
Br 0.000 0.000 0.500

***

Density functional theory data (SCAN) for a PBEsol-optimized structure of CaNiAu.

Values from the calculation:
The formation energy comes out at -0.45 eV per atom. Its space-group type is P-6m2.

a = 4.240 Å, b = 4.240 Å, c = 3.833 Å
α = 90.00°, β = 90.00°, γ = 120.00°
Fractional positions:
Ca 0.000 0.000 0.000
Ni 0.333 0.667 0.500
Au 0.667 0.333 0.500

***

Density functional theory data (SCAN) for a PBEsol-optimized structure of La3Tl.

Values from the calculation:
The formation energy comes out at -0.30 eV per atom. For the energy above the most stable polymorph in this dataset, the calculation gives 0.086 eV/atom. Its space-group type is Pmm2.

a = 3.618 Å, b = 5.658 Å, c = 5.978 Å
α = 90.00°, β = 90.00°, γ = 90.00°
Fractional positions:
La 0.000 0.000 0.000
La 0.000 0.500 0.410
La 0.500 0.000 0.555
Tl 0.500 0.500 0.899

***

Density functional theory data (SCAN) for a PBEsol-optimized structure of Hf3CCl.

Values from the calculation:
The calculation puts the energy relative to the elements, uncorrected at 193 meV per atom. Its space-group type is Pm-3m.

a = 4.480 Å, b = 4.480 Å, c = 4.480 Å
α = 90.00°, β = 90.00°, γ = 90.00°
Fractional positions:
Hf 0.000 0.000 0.500
Hf 0.000 0.500 0.000
Hf 0.500 0.000 0.000
C 0.000 0.000 0.000
Cl 0.500 0.500 0.500

***

Density functional theory data (SCAN) for a PBEsol-optimized structure of Na2O.

Values from the calculation:
The calculation puts the energy relative to the elements, uncorrected at -1285 meV per atom. Its space-group type is R-3m.

a = 8.308 Å, b = 8.308 Å, c = 8.308 Å
α = 26.12°, β = 26.12°, γ = 26.12°
Fractional positions:
Na 0.105 0.105 0.105
Na 0.299 0.299 0.299
Na 0.701 0.701 0.701
Na 0.895 0.895 0.895
O 0.402 0.402 0.402
O 0.598 0.598 0.598

***

Density functional theory data (SCAN) for a PBEsol-optimized structure of Mg2AlCr.

Values from the calculation:
The formation energy comes out at 0.09 eV per atom. Its space-group type is Cm.

a = 5.360 Å, b = 5.360 Å, c = 4.561 Å
α = 115.15°, β = 115.15°, γ = 36.00°
Fractional positions:
Mg 0.000 0.000 0.000
Mg 0.229 0.229 0.730
Al 0.467 0.467 0.467
Cr 0.750 0.750 0.251

***

Density functional theory data (SCAN) for a PBEsol-optimized structure of ScCuHg2Mo.

Values from the calculation:
The formation energy comes out at 1.30 eV per atom. Its space-group type is P4/mmm.

a = 5.213 Å, b = 5.213 Å, c = 4.607 Å
α = 90.00°, β = 90.00°, γ = 90.00°
Fractional positions:
Sc 0.000 0.000 0.000
Cu 0.000 0.000 0.500
Hg 0.000 0.500 0.000
Hg 0.500 0.000 0.000
Mo 0.500 0.500 0.500

***

Density functional theory data (SCAN) for a PBEsol-optimized structure of Li4TiMn3P4O16.

Values from the calculation:
The calculation puts the energy relative to the elements, uncorrected at -2515 meV per atom. Its space-group type is Pm.

a = 4.692 Å, b = 6.069 Å, c = 10.412 Å
α = 90.00°, β = 90.10°, γ = 90.00°
Fractional positions:
Li 0.000 0.248 0.000
Li 0.000 0.752 0.000
Li 0.501 0.250 0.496
Li 0.501 0.750 0.496
Ti 0.975 0.500 0.719
Mn 0.025 0.000 0.278
Mn 0.477 0.000 0.778
Mn 0.524 0.500 0.216
P 0.083 0.500 0.406
P 0.413 0.500 0.903
P 0.583 0.000 0.089
P 0.923 0.000 0.589
O 0.208 0.500 0.544
O 0.218 0.297 0.336
O 0.218 0.703 0.336
O 0.250 0.000 0.590
O 0.256 0.000 0.091
O 0.275 0.298 0.832
O 0.275 0.702 0.832
O 0.289 0.500 0.041
O 0.708 0.000 0.951
O 0.717 0.203 0.159
O 0.717 0.797 0.159
O 0.740 0.500 0.902
O 0.756 0.500 0.404
O 0.791 0.000 0.453
O 0.792 0.203 0.661
O 0.792 0.797 0.661

***

Density functional theory data (SCAN) for a PBEsol-optimized structure of LiSi2Se.

Values from the calculation:
The calculation puts the energy relative to the elements, uncorrected at 115 meV per atom. Its space-group type is Cmm2.

a = 2.765 Å, b = 2.765 Å, c = 8.908 Å
α = 90.00°, β = 90.00°, γ = 99.69°
Fractional positions:
Li 0.000 0.000 0.000
Si 0.000 0.000 0.559
Si 0.500 0.500 0.760
Se 0.500 0.500 0.212

***

Density functional theory data (SCAN) for a PBEsol-optimized structure of SrAgGeMo2.

Values from the calculation:
The formation energy comes out at 1.40 eV per atom. Its space-group type is P4/mmm.

a = 5.122 Å, b = 5.122 Å, c = 4.741 Å
α = 90.00°, β = 90.00°, γ = 90.00°
Fractional positions:
Sr 0.000 0.000 0.000
Ag 0.500 0.500 0.500
Ge 0.500 0.500 0.000
Mo 0.000 0.500 0.500
Mo 0.500 0.000 0.500

***

Density functional theory data (SCAN) for a PBEsol-optimized structure of Ba2HgRh.

Values from the calculation:
The formation energy comes out at -0.05 eV per atom. Its space-group type is F-43m.

a = 5.298 Å, b = 5.298 Å, c = 5.298 Å
α = 60.00°, β = 60.00°, γ = 60.00°
Fractional positions:
Ba 0.000 0.000 0.000
Ba 0.250 0.250 0.250
Hg 0.750 0.750 0.750
Rh 0.500 0.500 0.500

***

Density functional theory data (SCAN) for a PBEsol-optimized structure of NaYN2.

Values from the calculation:
For the energy above the most stable polymorph in this dataset, the calculation gives 0.000 eV/atom. The calculation puts the energy relative to the elements, uncorrected at -278 meV per atom. Its space-group type is Fm-3m.

a = 4.093 Å, b = 4.093 Å, c = 4.093 Å
α = 60.00°, β = 60.00°, γ = 60.00°
Fractional positions:
Na 0.000 0.000 0.000
Y 0.500 0.500 0.500
N 0.250 0.250 0.250
N 0.750 0.750 0.750

***

Density functional theory data (SCAN) for a PBEsol-optimized structure of ScRh2W.

Values from the calculation:
The formation energy comes out at -0.12 eV per atom. For the energy above the most stable polymorph in this dataset, the calculation gives 0.012 eV/atom. Its space-group type is R-3m.

a = 8.896 Å, b = 8.896 Å, c = 8.896 Å
α = 18.41°, β = 18.41°, γ = 18.41°
Fractional positions:
Sc 0.000 0.000 0.000
Rh 0.249 0.249 0.249
Rh 0.751 0.751 0.751
W 0.500 0.500 0.500

***

Density functional theory data (SCAN) for a PBEsol-optimized structure of CuHgH3.

Values from the calculation:
Its space-group type is Pm-3m. The final energy comes out at -18.137 eV per atom.

a = 3.581 Å, b = 3.581 Å, c = 3.581 Å
α = 90.00°, β = 90.00°, γ = 90.00°
Fractional positions:
Cu 0.000 0.000 0.000
Hg 0.500 0.500 0.500
H 0.000 0.000 0.500
H 0.000 0.500 0.000
H 0.500 0.000 0.000

***

Density functional theory data (SCAN) for a PBEsol-optimized structure of CeAl2Zn2.

Values from the calculation:
The formation energy comes out at -0.45 eV per atom. Its space-group type is I4/mmm.

a = 6.115 Å, b = 6.115 Å, c = 6.115 Å
α = 140.37°, β = 140.37°, γ = 57.28°
Fractional positions:
Ce 0.000 0.000 0.000
Al 0.250 0.750 0.500
Al 0.750 0.250 0.500
Zn 0.389 0.389 0.000
Zn 0.611 0.611 0.000

***

Density functional theory data (SCAN) for a PBEsol-optimized structure of MgAs2P2.

Values from the calculation:
The formation energy comes out at 0.11 eV per atom. Its space-group type is P4/mbm.

a = 7.405 Å, b = 7.405 Å, c = 3.430 Å
α = 90.00°, β = 90.00°, γ = 90.00°
Fractional positions:
Mg 0.000 0.000 0.000
Mg 0.500 0.500 0.000
As 0.168 0.332 0.500
As 0.332 0.832 0.500
As 0.668 0.168 0.500
As 0.832 0.668 0.500
P 0.177 0.677 0.000
P 0.323 0.177 0.000
P 0.677 0.823 0.000
P 0.823 0.323 0.000

***

Density functional theory data (SCAN) for a PBEsol-optimized structure of KMgZn.

Values from the calculation:
The formation energy comes out at 0.11 eV per atom. Its space-group type is I4mm.

a = 6.860 Å, b = 6.860 Å, c = 6.860 Å
α = 148.59°, β = 148.59°, γ = 45.01°
Fractional positions:
K 0.000 0.000 0.000
Mg 0.725 0.725 0.000
Zn 0.299 0.299 0.000

***

Density functional theory data (SCAN) for a PBEsol-optimized structure of La2SeN.

Values from the calculation:
The calculation puts the energy relative to the elements, uncorrected at -1153 meV per atom. Its space-group type is Fm-3m.

a = 4.846 Å, b = 4.846 Å, c = 4.846 Å
α = 60.00°, β = 60.00°, γ = 60.00°
Fractional positions:
La 0.250 0.250 0.250
La 0.750 0.750 0.750
Se 0.000 0.000 0.000
N 0.500 0.500 0.500

***

Density functional theory data (SCAN) for a PBEsol-optimized structure of Cd2InHg.

Values from the calculation:
The formation energy comes out at 0.04 eV per atom. For the energy above the most stable polymorph in this dataset, the calculation gives 0.019 eV/atom. Its space-group type is R3m.

a = 9.825 Å, b = 9.825 Å, c = 9.825 Å
α = 19.19°, β = 19.19°, γ = 19.19°
Fractional positions:
Cd 0.000 0.000 0.000
Cd 0.253 0.253 0.253
In 0.500 0.500 0.500
Hg 0.748 0.748 0.748

***

Density functional theory data (SCAN) for a PBEsol-optimized structure of Cd3AsO.

Values from the calculation:
The calculation puts the energy relative to the elements, uncorrected at -216 meV per atom. Its space-group type is Pm-3m.

a = 4.551 Å, b = 4.551 Å, c = 4.551 Å
α = 90.00°, β = 90.00°, γ = 90.00°
Fractional positions:
Cd 0.000 0.000 0.500
Cd 0.000 0.500 0.000
Cd 0.500 0.000 0.000
As 0.500 0.500 0.500
O 0.000 0.000 0.000

***

Density functional theory data (SCAN) for a PBEsol-optimized structure of InOs2Se2.

Values from the calculation:
The calculation puts the energy relative to the elements, uncorrected at 320 meV per atom. Its space-group type is I4/mmm.

a = 6.842 Å, b = 6.842 Å, c = 6.842 Å
α = 145.47°, β = 145.47°, γ = 49.64°
Fractional positions:
In 0.000 0.000 0.000
Os 0.250 0.750 0.500
Os 0.750 0.250 0.500
Se 0.358 0.358 0.000
Se 0.642 0.642 0.000

***

Density functional theory data (SCAN) for a PBEsol-optimized structure of Lu3Ga10Ni.

Values from the calculation:
The formation energy comes out at -0.53 eV per atom. Its space-group type is Cm.

a = 7.901 Å, b = 7.901 Å, c = 9.694 Å
α = 125.51°, β = 125.51°, γ = 30.06°
Fractional positions:
Lu 0.000 0.000 0.000
Lu 0.314 0.314 0.307
Lu 0.633 0.633 0.651
Ga 0.161 0.161 0.903
Ga 0.171 0.171 0.438
Ga 0.315 0.315 0.820
Ga 0.462 0.462 0.186
Ga 0.476 0.476 0.758
Ga 0.655 0.655 0.252
Ga 0.806 0.806 0.601
Ga 0.817 0.817 0.034
Ga 0.966 0.966 0.591
Ga 0.982 0.982 0.359
Ni 0.658 0.658 0.018